Entry 1:
# KBaFe2

Crystalline KBaFe2 at its relaxed geometry (PBEsol, Alexandria via LeMat-Bulk).

a = 3.743 Å, b = 3.743 Å, c = 9.575 Å
α = 101.03°, β = 101.03°, γ = 60.03°
Sites, in units of the cell vectors:
1 K 0.000 0.000 0.000
2 Ba 0.172 0.172 0.528
3 Fe 0.424 0.424 0.279
4 Fe 0.758 0.758 0.279

Summary:
For the total DFT energy (no corrections), the calculation gives -4.6468 eV/atom. For the density of states at the Fermi level, the calculation gives 4.27 states/eV/f.u. The value obtained for the formation energy is 0.6555 eV per atom.

Entry 2:
# Ba3MnP

Crystalline Ba3MnP at its relaxed geometry (PBEsol, Alexandria via LeMat-Bulk).

a = 6.150 Å, b = 6.150 Å, c = 6.150 Å
α = 90.00°, β = 90.00°, γ = 90.00°
Sites, in units of the cell vectors:
1 Ba 0.000 0.000 0.500
2 Ba 0.000 0.500 0.000
3 Ba 0.500 0.000 0.000
4 Mn 0.500 0.500 0.500
5 P 0.000 0.000 0.000

Summary:
For the total DFT energy (no corrections), the calculation gives -4.2830 eV/atom. For the density of states at the Fermi level, the calculation gives 6.21 states/eV/f.u. The value obtained for the formation energy is 0.1168 eV per atom.

Entry 3:
# InCo4Au

Crystalline InCo4Au at its relaxed geometry (PBEsol, Alexandria via LeMat-Bulk).

a = 4.795 Å, b = 4.795 Å, c = 4.795 Å
α = 60.00°, β = 60.00°, γ = 60.00°
Sites, in units of the cell vectors:
1 In 0.000 0.000 0.000
2 Co 0.126 0.625 0.625
3 Co 0.625 0.126 0.625
4 Co 0.625 0.625 0.126
5 Co 0.625 0.625 0.625
6 Au 0.250 0.250 0.250

Summary:
For the total DFT energy (no corrections), the calculation gives -6.1344 eV/atom. For the density of states at the Fermi level, the calculation gives 8.12 states/eV/f.u. The value obtained for the formation energy is 0.1748 eV per atom.

Entry 4:
# LaPSe2

Crystalline LaPSe2 at its relaxed geometry (PBEsol, Alexandria via LeMat-Bulk).

a = 4.075 Å, b = 3.696 Å, c = 6.503 Å
α = 90.00°, β = 107.10°, γ = 90.00°
Sites, in units of the cell vectors:
1 La 0.000 0.000 0.000
2 P 0.639 0.500 0.236
3 Se 0.389 0.500 0.776
4 Se 0.933 0.000 0.459

Summary:
Its formation energy without anion corrections is -0.895 eV/atom. For the total DFT energy (no corrections), the calculation gives -5.6042 eV/atom. For the density of states at the Fermi level, the calculation gives 1.07 states/eV/f.u.